Here is KAgN2 after structural relaxation from the Alexandria database. Energies are from PBE.

Calculated values
Its total energy is -3.244 eV/atom. The calculation puts the volume at 17.012 A^3/atom. For the uncorrected formation energy, the calculation gives 1.9054 eV/atom.

Cell: 8.2916 8.2916 8.2916 Å, 21.66 21.66 21.66°
Fractional positions:
N  0.0813  0.0813  0.0813
N  0.9187  0.9187  0.9187
K  0.5000  0.5000  0.5000
Ag  0.0000  0.0000  0.0000